(1)
The following is a DFT calculation (GGA-PBE) of a relaxed Sm2Sn4Rh3Au crystal.

Computed properties:
* total moment: 0.0 μB/f.u.
* DFT formation energy: -0.64 eV/atom

Cell lengths 4.4914, 4.4914, 10.9596 Å; angles 90.00, 90.00, 90.00 degrees
Space group P-4m2 (No. 115)
Unique sites:
Sm (0.0000, 0.5000, 0.2434) x2
Sn (0.0000, 0.0000, 0.0000) x1
Sn (0.0000, 0.5000, 0.6380) x2
Sn (0.5000, 0.5000, 0.0000) x1
Rh (0.0000, 0.5000, 0.8710) x2
Rh (0.5000, 0.5000, 0.5000) x1
Au (0.0000, 0.0000, 0.5000) x1

---

(2)
The following is a DFT calculation (GGA-PBE) of a relaxed Nb6GaSn crystal.

Computed properties:
* excess energy over the best structure of this formula in the dataset: 5 meV per atom
* total moment: 0.0 μB/f.u.
* DFT formation energy: -0.17 eV/atom

Cell lengths 5.2686, 5.2686, 5.2686 Å; angles 90.00, 90.00, 90.00 degrees
Space group Pm-3 (No. 200)
Unique sites:
Nb (0.0000, 0.2459, 0.5000) x6
Ga (0.0000, 0.0000, 0.0000) x1
Sn (0.5000, 0.5000, 0.5000) x1

---

(3)
The following is a DFT calculation (GGA-PBE) of a relaxed Sr3U6O20 crystal.

Computed properties:
* E_form (uncorrected): -2935 meV per atom
* total moment: 2.3 μB/f.u.

Cell lengths 11.4346, 11.4346, 11.4346 Å; angles 90.00, 90.00, 90.00 degrees
Space group Fm-3m (No. 225)
Unique sites:
Sr (0.0000, 0.0000, 0.0000) x4
Sr (0.2500, 0.2500, 0.2500) x8
U (0.0000, 0.0000, 0.2673) x24
O (0.0000, 0.1601, 0.1601) x48
O (0.1141, 0.1141, 0.3859) x32

---

(4)
The following is a DFT calculation (GGA-PBE) of a relaxed SmTlPd crystal.

Computed properties:
* excess energy over the best structure of this formula in the dataset: 137 meV per atom
* total moment: 0.0 μB/f.u.
* DFT formation energy: -0.51 eV/atom

Cell lengths 6.8093, 6.8093, 6.8093 Å; angles 90.00, 90.00, 90.00 degrees
Space group F-43m (No. 216)
Unique sites:
Sm (0.0000, 0.0000, 0.0000) x4
Tl (0.0000, 0.0000, 0.5000) x4
Pd (0.2500, 0.2500, 0.2500) x4

---

(5)
The following is a DFT calculation (GGA-PBE) of a relaxed AcAgAs2 crystal.

Computed properties:
* excess energy over the best structure of this formula in the dataset: 354 meV per atom
* total moment: 0.0 μB/f.u.
* DFT formation energy: -0.42 eV/atom

Cell lengths 7.3200, 7.3200, 7.3200 Å; angles 90.00, 90.00, 90.00 degrees
Space group Fm-3m (No. 225)
Unique sites:
Ac (0.0000, 0.0000, 0.0000) x4
Ag (0.0000, 0.0000, 0.5000) x4
As (0.2500, 0.2500, 0.2500) x8

---

(6)
The following is a DFT calculation (GGA-PBE) of a relaxed Sc2InCl crystal.

Computed properties:
* E_form (uncorrected): -641 meV per atom
* excess energy over the best structure of this formula in the dataset: 132 meV per atom
* total moment: 0.0 μB/f.u.

Cell lengths 3.2895, 3.2895, 9.5769 Å; angles 90.00, 90.00, 90.00 degrees
Space group P4mm (No. 99)
Unique sites:
Sc (0.0000, 0.0000, 0.0000) x1
Sc (0.5000, 0.5000, 0.2392) x1
In (0.5000, 0.5000, 0.7916) x1
Cl (0.0000, 0.0000, 0.3911) x1

---

(7)
The following is a DFT calculation (GGA-PBE) of a relaxed In3MoPt crystal.

Computed properties:
* excess energy over the best structure of this formula in the dataset: 346 meV per atom
* total moment: 1.6 μB/f.u.
* DFT formation energy: 1.03 eV/atom

Cell lengths 5.2050, 5.2050, 5.2050 Å; angles 90.00, 90.00, 90.00 degrees
Space group Pm-3m (No. 221)
Unique sites:
In (0.0000, 0.0000, 0.5000) x3
Mo (0.0000, 0.0000, 0.0000) x1
Pt (0.5000, 0.5000, 0.5000) x1

---

(8)
The following is a DFT calculation (GGA-PBE) of a relaxed CeSmOsRu crystal.

Computed properties:
* total moment: 0.0 μB/f.u.
* DFT formation energy: -0.13 eV/atom

Cell lengths 6.9427, 6.9427, 6.9427 Å; angles 90.00, 90.00, 90.00 degrees
Space group F-43m (No. 216)
Unique sites:
Ce (0.0000, 0.0000, 0.0000) x4
Sm (0.0000, 0.0000, 0.5000) x4
Os (0.2500, 0.2500, 0.2500) x4
Ru (0.2500, 0.2500, 0.7500) x4

---

(9)
The following is a DFT calculation (GGA-PBE) of a relaxed La2PW crystal.

Computed properties:
* excess energy over the best structure of this formula in the dataset: 355 meV per atom
* total moment: 0.7 μB/f.u.
* DFT formation energy: 0.05 eV/atom

Cell lengths 4.9530, 4.9530, 3.8832 Å; angles 90.00, 90.00, 90.00 degrees
Space group P4/mmm (No. 123)
Unique sites:
La (0.0000, 0.5000, 0.0000) x2
P (0.0000, 0.0000, 0.5000) x1
W (0.5000, 0.5000, 0.5000) x1

---

(10)
The following is a DFT calculation (GGA-PBE) of a relaxed PrGa5Pt2Rh crystal.

Computed properties:
* total moment: 0.0 μB/f.u.
* DFT formation energy: -0.50 eV/atom

Cell lengths 4.3100, 4.3100, 10.1023 Å; angles 90.00, 90.00, 90.00 degrees
Space group P4/mmm (No. 123)
Unique sites:
Pr (0.0000, 0.0000, 0.0000) x1
Ga (0.0000, 0.5000, 0.3595) x4
Ga (0.5000, 0.5000, 0.0000) x1
Pt (0.5000, 0.5000, 0.2327) x2
Rh (0.0000, 0.0000, 0.5000) x1

---

(11)
The following is a DFT calculation (GGA-PBE) of a relaxed PuTa3Nb2N6 crystal.

Computed properties:
* E_form (uncorrected): -1021 meV per atom
* total moment: 3.5 μB/f.u.

Cell lengths 13.8957, 3.1738, 6.3683 Å; angles 90.00, 103.65, 90.00 degrees
Space group C2/m (No. 12)
Unique sites:
Pu (0.0000, 0.0000, 0.0000) x2
Ta (0.0000, 0.0000, 0.5000) x2
Ta (0.1673, 0.5000, 0.8369) x4
Nb (0.1643, 0.5000, 0.3294) x4
N (0.0035, 0.5000, 0.7325) x4
N (0.1648, 0.0000, 0.5915) x4
N (0.1737, 0.0000, 0.0807) x4

---

(12)
The following is a DFT calculation (GGA-PBE) of a relaxed CoAuCl crystal.

Computed properties:
* E_form (uncorrected): -18 meV per atom
* excess energy over the best structure of this formula in the dataset: 51 meV per atom
* total moment: 2.2 μB/f.u.

Cell lengths 3.2491, 4.7851, 9.1512 Å; angles 94.71, 90.51, 109.64 degrees
Space group P-1 (No. 2)
Unique sites:
Co (0.0927, 0.1780, 0.1651) x2
Au (0.3656, 0.7283, 0.0646) x2
Cl (0.3667, 0.7478, 0.6658) x2